# Pa2Mn3Al9

Crystalline Pa2Mn3Al9 at its relaxed geometry (PBE, Alexandria).

Properties
formation enthalpy at 0 K: -0.273 eV/atom
VASP energy: -168.0 eV for the cell shown

Cell: 7.6425 7.6425 10.3864 Å, 112.22 112.22 58.06°
Fractional coordinates of all 28 atoms:
Pa 0.1000 0.2465 0.2463
Pa 0.2465 0.1000 0.7463
Pa 0.7535 0.9000 0.2537
Pa 0.9000 0.7535 0.7537
Mn 0.0000 0.5000 0.0000
Mn 0.1408 0.6794 0.4910
Mn 0.3206 0.8592 0.0090
Mn 0.5000 0.0000 0.5000
Mn 0.6794 0.1408 0.9910
Mn 0.8592 0.3206 0.5090
Al 0.0317 0.8539 0.0818
Al 0.1461 0.9683 0.4182
Al 0.1920 0.3703 0.5716
Al 0.2208 0.5729 0.2521
Al 0.3180 0.4893 0.9505
Al 0.3470 0.6530 0.7500
Al 0.3703 0.1920 0.0716
Al 0.4271 0.7792 0.2479
Al 0.4893 0.3180 0.4505
Al 0.5107 0.6820 0.5495
Al 0.5729 0.2208 0.7521
Al 0.6297 0.8080 0.9284
Al 0.6530 0.3470 0.2500
Al 0.6820 0.5107 0.0495
Al 0.7792 0.4271 0.7479
Al 0.8080 0.6297 0.4284
Al 0.8539 0.0317 0.5818
Al 0.9683 0.1461 0.9182



# Cu6Sn2Pd

Crystalline Cu6Sn2Pd at its relaxed geometry (PBE, Alexandria).

Properties
formation enthalpy at 0 K: 0.039 eV/atom
VASP energy: -37.4 eV for the cell shown

Cell: 5.0302 5.0302 6.4295 Å, 90.00 90.00 120.00°
Fractional coordinates of all 9 atoms:
Cu 0.1700 0.3400 0.1563
Cu 0.1700 0.8300 0.1563
Cu 0.3400 0.1700 0.8437
Cu 0.6600 0.8300 0.1563
Cu 0.8300 0.1700 0.8437
Cu 0.8300 0.6600 0.8437
Sn 0.3333 0.6667 0.6435
Sn 0.6667 0.3333 0.3565
Pd 0.0000 0.0000 0.5000



# Dy12Tm7Hf

Crystalline Dy12Tm7Hf at its relaxed geometry (PBE, Alexandria).

Properties
formation enthalpy at 0 K: 0.306 eV/atom
VASP energy: -90.4 eV for the cell shown

Cell: 8.5818 8.5818 8.5818 Å, 94.41 94.41 94.41°
Fractional coordinates of all 20 atoms:
Dy 0.1460 0.4103 0.4755
Dy 0.1881 0.7514 0.3178
Dy 0.2486 0.6822 0.8119
Dy 0.3178 0.1881 0.7514
Dy 0.4103 0.4755 0.1460
Dy 0.4755 0.1460 0.4103
Dy 0.5245 0.8540 0.5897
Dy 0.5897 0.5245 0.8540
Dy 0.6822 0.8119 0.2486
Dy 0.7514 0.3178 0.1881
Dy 0.8119 0.2486 0.6822
Dy 0.8540 0.5897 0.5245
Tm 0.0148 0.0779 0.3418
Tm 0.0779 0.3418 0.0148
Tm 0.3418 0.0148 0.0779
Tm 0.5000 0.5000 0.5000
Tm 0.6582 0.9852 0.9221
Tm 0.9221 0.6582 0.9852
Tm 0.9852 0.9221 0.6582
Hf 0.0000 0.0000 0.0000



# SiCl5

Crystalline SiCl5 at its relaxed geometry (PBE, Alexandria).

Properties
relative energy among the computed polymorphs: 1157 meV per atom
formation energy (no corrections): 0.722 eV per atom
VASP energy: -10.3 eV for the cell shown

Cell: 5.7175 5.7175 5.7175 Å, 60.00 60.00 60.00°
Fractional coordinates of all 6 atoms:
Si 0.0000 0.0000 0.0000
Cl 0.3747 0.3747 0.3747
Cl 0.3747 0.3747 0.8760
Cl 0.3747 0.8760 0.3747
Cl 0.7500 0.7500 0.7500
Cl 0.8760 0.3747 0.3747



# Ti2TcNiI

Crystalline Ti2TcNiI at its relaxed geometry (PBE, Alexandria).

Properties
formation energy (no corrections): 0.717 eV per atom
VASP energy: -29.9 eV for the cell shown

Cell: 4.7443 4.7443 4.6868 Å, 90.00 90.00 90.00°
Fractional coordinates of all 5 atoms:
Ti 0.0000 0.5000 0.0000
Ti 0.5000 0.0000 0.0000
Tc 0.0000 0.0000 0.0000
Ni 0.0000 0.0000 0.5000
I 0.5000 0.5000 0.5000



# Pr7YEr12

Crystalline Pr7YEr12 at its relaxed geometry (PBE, Alexandria).

Properties
formation enthalpy at 0 K: 0.643 eV/atom
relative energy among the computed polymorphs: 416 meV per atom
VASP energy: -81.8 eV for the cell shown

Cell: 9.7796 9.7796 9.7796 Å, 109.47 109.47 109.47°
Fractional coordinates of all 20 atoms:
Pr 0.0000 0.0000 0.5000
Pr 0.0000 0.5000 0.0000
Pr 0.0000 0.5000 0.5000
Pr 0.5000 0.0000 0.0000
Pr 0.5000 0.0000 0.5000
Pr 0.5000 0.5000 0.0000
Pr 0.5000 0.5000 0.5000
Y 0.0000 0.0000 0.0000
Er 0.0000 0.2471 0.7529
Er 0.0000 0.7529 0.2471
Er 0.2471 0.0000 0.7529
Er 0.2471 0.2471 0.4942
Er 0.2471 0.4942 0.2471
Er 0.2471 0.7529 0.0000
Er 0.4942 0.2471 0.2471
Er 0.5058 0.7529 0.7529
Er 0.7529 0.0000 0.2471
Er 0.7529 0.2471 0.0000
Er 0.7529 0.5058 0.7529
Er 0.7529 0.7529 0.5058



# Re4SiNi

Crystalline Re4SiNi at its relaxed geometry (PBE, Alexandria).

Properties
formation energy (no corrections): 0.775 eV per atom
VASP energy: -56.3 eV for the cell shown

Cell: 5.1230 5.1230 5.1230 Å, 60.00 60.00 60.00°
Fractional coordinates of all 6 atoms:
Re 0.1242 0.1242 0.1242
Re 0.1242 0.1242 0.6275
Re 0.1242 0.6275 0.1242
Re 0.6275 0.1242 0.1242
Si 0.5000 0.5000 0.5000
Ni 0.7500 0.7500 0.7500



# TbNd3Dy2As6

Crystalline TbNd3Dy2As6 at its relaxed geometry (PBE, Alexandria).

Properties
formation enthalpy at 0 K: -1.520 eV/atom
VASP energy: -74.3 eV for the cell shown

Cell: 7.2747 7.2747 7.2715 Å, 99.59 99.59 119.99°
Fractional coordinates of all 12 atoms:
Tb 0.0000 0.0000 0.0000
Nd 0.1665 0.8335 0.5000
Nd 0.5000 0.5000 0.5000
Nd 0.8335 0.1665 0.5000
Dy 0.3333 0.6667 0.0000
Dy 0.6667 0.3333 0.0000
As 0.0804 0.4144 0.2411
As 0.2537 0.2537 0.7590
As 0.4144 0.0804 0.2411
As 0.5856 0.9196 0.7589
As 0.7463 0.7463 0.2410
As 0.9196 0.5856 0.7589



Q: Which formula does entry 4 have?
A: SiCl5